CrMoIO2 | GGA+U | optimized geometry

It has space group P4/mmm (No. 123), with a = 3.965 Å, b = 3.965 Å, c = 7.333 Å, α = 90.00°, β = 90.00° and γ = 90.00°. Symmetry generates all atoms from Cr at (0.000, 0.000, 0.000), Mo at (0.500, 0.500, 0.500), I at (0.500, 0.500, 0.000) and O at (0.000, 0.500, 0.500).

The value obtained for the volume is 115.3 Å³/cell. For the energy above the most stable polymorph in this dataset, the calculation gives 0 meV per atom. As for the uncorrected energy: -5.873 eV per atom.